[1]
Computed, not measured: a geometry-optimized K2BaCo structure at the PBE level of DFT.

a = 7.9314 Å, b = 7.9314 Å, c = 5.0123 Å
α = 107.47°, β = 107.47°, γ = 128.13°
Sites, in units of the cell vectors:
1 K 0.0000 0.5000 0.0000
2 K 0.5000 0.0000 0.0000
3 Ba 0.0000 0.0000 0.5000
4 Co 0.5000 0.5000 0.5000

Computed properties:
formation enthalpy at 0 K: 745.3 meV per atom
magnetic moment: 1.53 μB/f.u.
D(E_F): 0.64 states/eV/atom
calculated density: 2.53 g/cm3
excess energy over the best structure of this formula in the dataset: 0.220 eV/atom

---

[2]
Computed, not measured: a geometry-optimized GaReNi2 structure at the PBE level of DFT.

a = 8.9276 Å, b = 8.9276 Å, c = 8.9276 Å
α = 156.71°, β = 156.71°, γ = 33.18°
Sites, in units of the cell vectors:
1 Ga 0.0000 0.0000 0.0000
2 Ga 0.7500 0.2500 0.5000
3 Re 0.2500 0.7500 0.5000
4 Re 0.5000 0.5000 0.0000
5 Ni 0.1242 0.6250 0.9992
6 Ni 0.3750 0.3742 0.4992
7 Ni 0.6258 0.1250 0.0008
8 Ni 0.8750 0.8758 0.5008

Computed properties:
formation enthalpy at 0 K: 434.8 meV per atom
magnetic moment: 0.00 μB/f.u.
D(E_F): 1.03 states/eV/atom
calculated density: 11.15 g/cm3

---

[3]
Computed, not measured: a geometry-optimized PrCo4 structure at the PBE level of DFT.

a = 4.6919 Å, b = 4.6919 Å, c = 4.6919 Å
α = 90.00°, β = 90.00°, γ = 90.00°
Sites, in units of the cell vectors:
1 Pr 0.0000 0.0000 0.0000
2 Co 0.0000 0.0000 0.5000
3 Co 0.0000 0.5000 0.0000
4 Co 0.5000 0.0000 0.0000
5 Co 0.5000 0.5000 0.5000

Computed properties:
formation enthalpy at 0 K: 2102.5 meV per atom
magnetic moment: 5.31 μB/f.u.
D(E_F): 1.31 states/eV/atom
calculated density: 6.06 g/cm3